# Pm4NiSn5, relaxed, DFT PBE
# Energy (eV per atom): -4.92
# ΔH_f (0 K) (kJ/mol of formula units): -421
data_Pm4NiSn5
_chemical_formula_sum 'Pm8 Ni2 Sn10'
_cell_length_a 9.385
_cell_length_b 9.385
_cell_length_c 6.296
_cell_angle_alpha 90.00
_cell_angle_beta 90.00
_cell_angle_gamma 90.00
_symmetry_space_group_name_H-M 'I 4'
_symmetry_Int_Tables_number 79
_symmetry_space_group_name_Hall 'I 4'
loop_
_atom_site_label
_atom_site_type_symbol
_atom_site_fract_x
_atom_site_fract_y
_atom_site_fract_z
Pm1 Pm 0.056 0.314 0.000
Ni1 Ni 0.000 0.000 0.272
Sn1 Sn 0.000 0.000 0.854
Sn2 Sn 0.094 0.224 0.491